MgNpAl11 PBE optimized geometry; space group = No. 12; ΔH_f (0 K) = 23 meV/atom; calculated total energy = -4.26 eV/atom; V = 232 Å³/f.u.; total moment = 3.897 μB/cell
1.0
2.727 -6.453 0.000
2.727 6.453 0.000
-2.700 0.000 6.604
Mg Np Al
1 1 11
direct
0.000 0.000 0.000
0.500 0.500 0.500
0.000 0.500 0.500
0.001 0.217 0.711
0.154 0.513 0.150
0.217 0.001 0.711
0.487 0.846 0.850
0.500 0.000 0.500
0.500 0.500 0.000
0.513 0.154 0.150
0.783 0.999 0.289
0.846 0.487 0.850
0.999 0.783 0.289